Computed, not measured: a relaxed structure of AlNiP2 at the PBE level of DFT.

For the calculated total energy, the calculation gives -5.013 eV per atom. For the formation energy, the calculation gives 0.07 eV/atom. The calculation puts the magnetic moment at 0.00 μB/f.u. The value obtained for the density is 4.5 g/cm³.

The space group is Pmmm (No. 47) and the conventional cell measures 2.6876, 3.1890 and 6.3073 Å, with angles of 90.00, 90.00 and 90.00 degrees. The inequivalent atoms are Al at (0.0000, 0.0000, 0.0000), Ni at (0.0000, 0.0000, 0.5000) and P at (0.5000, 0.5000, 0.2790).

---

Computed, not measured: a relaxed structure of YInSn3 at the PBE level of DFT.

For the calculated total energy, the calculation gives -4.468 eV per atom. For the formation energy, the calculation gives -0.23 eV/atom. The calculation puts the magnetic moment at 0.00 μB/f.u. As for the energy above the most stable polymorph in this dataset: 71 meV/atom. The value obtained for the density is 6.6 g/cm³.

The space group is Pnma (No. 62) and the conventional cell measures 10.4795, 6.4027 and 8.3391 Å, with angles of 90.00, 90.00 and 90.00 degrees. The inequivalent atoms are Y at (0.0934, 0.2500, 0.0794), In at (0.0755, 0.2500, 0.4630), Sn at (0.1018, 0.7500, 0.2372) and Sn at (0.1621, 0.5217, 0.7615).

---

Computed, not measured: a relaxed structure of Pa2CuP2N6 at the PBE level of DFT.

For the calculated total energy, the calculation gives -8.432 eV per atom. The calculation puts the magnetic moment at 0.00 μB/f.u. The value obtained for the uncorrected formation energy is -807.9 meV/atom. The value obtained for the density is 7.4 g/cm³.

The space group is P-1 (No. 2) and the conventional cell measures 4.3873, 6.0370 and 6.4866 Å, with angles of 98.96, 105.25 and 109.18 degrees. The inequivalent atoms are Pa at (0.2319, 0.3256, 0.1771), Cu at (0.5000, 0.0000, 0.5000), P at (0.0835, 0.2368, 0.6730), N at (0.1121, 0.0628, 0.8459), N at (0.1888, 0.5159, 0.8421) and N at (0.3923, 0.2873, 0.5587).